(P)
The following is a DFT calculation (PBE) of a geometry-optimized MgGaNiB structure.

## Properties
**SG**: No. 216
**Calculated volume**: 50 Å³/cell

abc: 4.1265 4.1265 4.1265
angles: 60.00 60.00 60.00
Fractional coordinates of all 4 atoms:
Mg1 0.0000 0.0000 0.0000
Ga1 0.5000 0.5000 0.5000
Ni1 0.2500 0.2500 0.2500
B1 0.7500 0.7500 0.7500

***

(Q)
The following is a DFT calculation (PBE) of a geometry-optimized MgGaNiB structure.

## Properties
**SG**: No. 216
**Calculated volume**: 49 Å³/cell

abc: 4.1036 4.1036 4.1036
angles: 60.00 60.00 60.00
Fractional coordinates of all 4 atoms:
Mg1 0.0000 0.0000 0.0000
Ga1 0.7500 0.7500 0.7500
Ni1 0.5000 0.5000 0.5000
B1 0.2500 0.2500 0.2500

***

(R)
The following is a DFT calculation (PBE) of a geometry-optimized MgGaNiB structure.

## Properties
**SG**: No. 216
**Calculated volume**: 50 Å³/cell

abc: 4.1225 4.1225 4.1225
angles: 60.00 60.00 60.00
Fractional coordinates of all 4 atoms:
Mg1 0.0000 0.0000 0.0000
Ga1 0.7500 0.7500 0.7500
Ni1 0.2500 0.2500 0.2500
B1 0.5000 0.5000 0.5000

***

Here is how they stack up, most stable first: (Q), (P), (R).

***

(P)
The following is a DFT calculation (PBE) of a geometry-optimized MgGaBPd structure.

## Properties
**SG**: No. 216
**Calculated volume**: 55 Å³/cell

abc: 4.2689 4.2689 4.2689
angles: 60.00 60.00 60.00
Fractional coordinates of all 4 atoms:
Mg1 0.0000 0.0000 0.0000
Ga1 0.7500 0.7500 0.7500
B1 0.2500 0.2500 0.2500
Pd1 0.5000 0.5000 0.5000

***

(Q)
The following is a DFT calculation (PBE) of a geometry-optimized MgGaBPd structure.

## Properties
**SG**: No. 216
**Calculated volume**: 56 Å³/cell

abc: 4.3007 4.3007 4.3007
angles: 60.00 60.00 60.00
Fractional coordinates of all 4 atoms:
Mg1 0.0000 0.0000 0.0000
Ga1 0.5000 0.5000 0.5000
B1 0.7500 0.7500 0.7500
Pd1 0.2500 0.2500 0.2500

***

Here is how they stack up, most stable first: (Q), (P).

***

(P)
The following is a DFT calculation (PBE) of a geometry-optimized MgGaBPt structure.

## Properties
**SG**: No. 216
**Calculated volume**: 54 Å³/cell

abc: 4.2530 4.2530 4.2530
angles: 60.00 60.00 60.00
Fractional coordinates of all 4 atoms:
Mg1 0.0000 0.0000 0.0000
Ga1 0.7500 0.7500 0.7500
B1 0.2500 0.2500 0.2500
Pt1 0.5000 0.5000 0.5000

***

(Q)
The following is a DFT calculation (PBE) of a geometry-optimized MgGaBPt structure.

## Properties
**SG**: No. 216
**Calculated volume**: 57 Å³/cell

abc: 4.3317 4.3317 4.3317
angles: 60.00 60.00 60.00
Fractional coordinates of all 4 atoms:
Mg1 0.0000 0.0000 0.0000
Ga1 0.5000 0.5000 0.5000
B1 0.7500 0.7500 0.7500
Pt1 0.2500 0.2500 0.2500

***

Here is how they stack up, most stable first: (P), (Q).

***

(P)
The following is a DFT calculation (PBE) of a geometry-optimized NbGaB structure.

## Properties
**SG**: No. 216
**Calculated volume**: 41 Å³/cell

abc: 3.8664 3.8664 3.8664
angles: 60.00 60.00 60.00
Fractional coordinates of all 3 atoms:
Nb1 0.0000 0.0000 0.0000
Ga1 0.5000 0.5000 0.5000
B1 0.7500 0.7500 0.7500

***

(Q)
The following is a DFT calculation (PBE) of a geometry-optimized NbGaB structure.

## Properties
**SG**: No. 216
**Calculated volume**: 48 Å³/cell

abc: 4.0884 4.0884 4.0884
angles: 60.00 60.00 60.00
Fractional coordinates of all 3 atoms:
Nb1 0.0000 0.0000 0.0000
Ga1 0.2500 0.2500 0.2500
B1 0.7500 0.7500 0.7500

***

Here is how they stack up, most stable first: (P), (Q).